(1)
# NaAlCuPd2 PBE-GGA relaxed
# Uncorrected energy ... -3.665 eV/atom
# Crystal system ... tetragonal
# Formation energy ... 0.243 eV per atom
data_NaAlCuPd2
_chemical_formula_sum 'Na1 Al1 Cu1 Pd2'
_cell_length_a 4.792
_cell_length_b 4.792
_cell_length_c 4.444
_cell_angle_alpha 90.00
_cell_angle_beta 90.00
_cell_angle_gamma 90.00
_symmetry_space_group_name_H-M 'P 1'
_symmetry_Int_Tables_number 1
loop_
_symmetry_equiv_pos_as_xyz
'x,y,z'
loop_
_atom_site_label
_atom_site_type_symbol
_atom_site_fract_x
_atom_site_fract_y
_atom_site_fract_z
_atom_site_occupancy
Na1 Na 0.500 0.500 0.500 1
Cu1 Cu 0.000 0.000 0.000 1
Pd1 Pd 0.500 0.000 0.000 1
Pd2 Pd 0.000 0.500 0.000 1
Al1 Al 0.000 0.000 0.500 1

***

(2)
# NaAl2CuPt PBE-GGA relaxed
# Uncorrected energy ... -3.642 eV/atom
# Crystal system ... tetragonal
# Formation energy ... 0.146 eV per atom
data_NaAl2CuPt
_chemical_formula_sum 'Na1 Al2 Cu1 Pt1'
_cell_length_a 4.506
_cell_length_b 4.884
_cell_length_c 4.506
_cell_angle_alpha 90.00
_cell_angle_beta 90.00
_cell_angle_gamma 90.00
_symmetry_space_group_name_H-M 'P 1'
_symmetry_Int_Tables_number 1
loop_
_symmetry_equiv_pos_as_xyz
'x,y,z'
loop_
_atom_site_label
_atom_site_type_symbol
_atom_site_fract_x
_atom_site_fract_y
_atom_site_fract_z
_atom_site_occupancy
Pt1 Pt 0.000 0.500 0.000 1
Cu1 Cu 0.000 0.000 0.000 1
Na1 Na 0.500 0.500 0.500 1
Al1 Al 0.000 0.000 0.500 1
Al2 Al 0.500 0.000 0.000 1

***

(3)
# NaAl2CuS PBE-GGA relaxed
# Uncorrected energy ... -3.050 eV/atom
# Crystal system ... tetragonal
# Formation energy from raw total energies ... 1.78 eV/f.u.
data_NaAl2CuS
_chemical_formula_sum 'Na1 Al2 Cu1 S1'
_cell_length_a 4.789
_cell_length_b 4.885
_cell_length_c 4.789
_cell_angle_alpha 90.00
_cell_angle_beta 90.00
_cell_angle_gamma 90.00
_symmetry_space_group_name_H-M 'P 1'
_symmetry_Int_Tables_number 1
loop_
_symmetry_equiv_pos_as_xyz
'x,y,z'
loop_
_atom_site_label
_atom_site_type_symbol
_atom_site_fract_x
_atom_site_fract_y
_atom_site_fract_z
_atom_site_occupancy
Al1 Al 0.000 0.000 0.500 1
Cu1 Cu 0.500 0.500 0.500 1
Al2 Al 0.500 0.000 0.000 1
Na1 Na 0.000 0.500 0.000 1
S1 S 0.000 0.000 0.000 1

***

(4)
# NaSr2AlCu PBE-GGA relaxed
# Uncorrected energy ... -2.519 eV/atom
# Crystal system ... tetragonal
# Formation energy ... -0.015 eV per atom
data_NaSr2AlCu
_chemical_formula_sum 'Na1 Sr2 Al1 Cu1'
_cell_length_a 6.007
_cell_length_b 6.007
_cell_length_c 4.719
_cell_angle_alpha 90.00
_cell_angle_beta 90.00
_cell_angle_gamma 90.00
_symmetry_space_group_name_H-M 'P 1'
_symmetry_Int_Tables_number 1
loop_
_symmetry_equiv_pos_as_xyz
'x,y,z'
loop_
_atom_site_label
_atom_site_type_symbol
_atom_site_fract_x
_atom_site_fract_y
_atom_site_fract_z
_atom_site_occupancy
Cu1 Cu 0.000 0.000 0.000 1
Sr1 Sr 0.000 0.500 0.000 1
Na1 Na 0.500 0.500 0.500 1
Al1 Al 0.000 0.000 0.500 1
Sr2 Sr 0.500 0.000 0.000 1

***

(5)
# NaAlCu2Te4 PBE-GGA relaxed
# Uncorrected energy ... -3.488 eV/atom
# Crystal system ... orthorhombic
# Formation energy from raw total energies ... -2.09 eV/f.u.
data_NaAlCu2Te4
_chemical_formula_sum 'Na1 Al1 Cu2 Te4'
_cell_length_a 6.490
_cell_length_b 7.331
_cell_length_c 7.331
_cell_angle_alpha 52.41
_cell_angle_beta 63.73
_cell_angle_gamma 63.73
_symmetry_space_group_name_H-M 'P 1'
_symmetry_Int_Tables_number 1
loop_
_symmetry_equiv_pos_as_xyz
'x,y,z'
loop_
_atom_site_label
_atom_site_type_symbol
_atom_site_fract_x
_atom_site_fract_y
_atom_site_fract_z
_atom_site_occupancy
Al1 Al 0.500 0.500 0.500 1
Te1 Te 0.584 0.416 0.869 1
Cu1 Cu 0.750 0.750 0.750 1
Na1 Na 0.000 0.000 0.000 1
Te2 Te 0.869 0.584 0.131 1
Te3 Te 0.131 0.869 0.416 1
Cu2 Cu 0.250 0.250 0.250 1
Te4 Te 0.416 0.131 0.584 1

***

(6)
# NaAlCuTe3 PBE-GGA relaxed
# Uncorrected energy ... -3.473 eV/atom
# Crystal system ... monoclinic
# Formation energy from raw total energies ... -2.25 eV/f.u.
data_NaAlCuTe3
_chemical_formula_sum 'Na2 Al2 Cu2 Te6'
_cell_length_a 3.957
_cell_length_b 7.641
_cell_length_c 12.280
_cell_angle_alpha 108.14
_cell_angle_beta 90.00
_cell_angle_gamma 90.00
_symmetry_space_group_name_H-M 'P 1'
_symmetry_Int_Tables_number 1
loop_
_symmetry_equiv_pos_as_xyz
'x,y,z'
loop_
_atom_site_label
_atom_site_type_symbol
_atom_site_fract_x
_atom_site_fract_y
_atom_site_fract_z
_atom_site_occupancy
Te1 Te 0.750 0.908 0.170 1
Al1 Al 0.750 0.711 0.311 1
Te2 Te 0.750 0.409 0.128 1
Al2 Al 0.250 0.289 0.689 1
Cu1 Cu 0.250 0.650 0.116 1
Te3 Te 0.250 0.092 0.830 1
Te4 Te 0.750 0.282 0.549 1
Na1 Na 0.750 0.728 0.681 1
Na2 Na 0.250 0.272 0.319 1
Te5 Te 0.250 0.718 0.451 1
Cu2 Cu 0.750 0.350 0.884 1
Te6 Te 0.250 0.591 0.872 1

***

(7)
# NaAlZn6Cu PBE-GGA relaxed
# Uncorrected energy ... -1.731 eV/atom
# Crystal system ... orthorhombic
# Formation energy ... 0.135 eV per atom
data_NaAlZn6Cu
_chemical_formula_sum 'Na2 Al2 Zn12 Cu2'
_cell_length_a 9.153
_cell_length_b 6.750
_cell_length_c 7.758
_cell_angle_alpha 115.79
_cell_angle_beta 126.15
_cell_angle_gamma 90.00
_symmetry_space_group_name_H-M 'P 1'
_symmetry_Int_Tables_number 1
loop_
_symmetry_equiv_pos_as_xyz
'x,y,z'
loop_
_atom_site_label
_atom_site_type_symbol
_atom_site_fract_x
_atom_site_fract_y
_atom_site_fract_z
_atom_site_occupancy
Zn1 Zn 0.315 0.065 0.630 1
Zn2 Zn 0.875 0.181 0.246 1
Al1 Al 0.500 0.500 0.000 1
Na1 Na 0.961 0.211 0.922 1
Zn3 Zn 0.731 0.481 0.461 1
Cu1 Cu 0.000 0.000 0.500 1
Zn4 Zn 0.630 0.435 0.754 1
Zn5 Zn 0.269 0.519 0.539 1
Al2 Al 0.500 0.000 0.000 1
Zn6 Zn 0.125 0.819 0.754 1
Zn7 Zn 0.125 0.435 0.754 1
Zn8 Zn 0.685 0.935 0.370 1
Zn9 Zn 0.630 0.819 0.754 1
Cu2 Cu 0.500 0.000 0.500 1
Zn10 Zn 0.875 0.565 0.246 1
Na2 Na 0.039 0.789 0.078 1
Zn11 Zn 0.370 0.181 0.246 1
Zn12 Zn 0.370 0.565 0.246 1

***

(8)
# Nb2AlCu PBE-GGA relaxed
# Uncorrected energy ... -7.136 eV/atom
# Crystal system ... tetragonal
# Formation energy ... -0.142 eV per atom
data_Nb2AlCu
_chemical_formula_sum 'Nb2 Al1 Cu1'
_cell_length_a 4.041
_cell_length_b 3.992
_cell_length_c 3.992
_cell_angle_alpha 90.00
_cell_angle_beta 90.00
_cell_angle_gamma 90.00
_symmetry_space_group_name_H-M 'P 1'
_symmetry_Int_Tables_number 1
loop_
_symmetry_equiv_pos_as_xyz
'x,y,z'
loop_
_atom_site_label
_atom_site_type_symbol
_atom_site_fract_x
_atom_site_fract_y
_atom_site_fract_z
_atom_site_occupancy
Cu1 Cu 0.500 0.000 0.000 1
Nb1 Nb 0.000 0.000 0.500 1
Al1 Al 0.500 0.500 0.500 1
Nb2 Nb 0.000 0.500 0.000 1

***

(9)
# NbAlCu PBE-GGA relaxed
# Uncorrected energy ... -6.260 eV/atom
# Crystal system ... orthorhombic
# Formation energy ... -0.291 eV per atom
data_NbAlCu
_chemical_formula_sum 'Nb4 Al4 Cu4'
_cell_length_a 5.003
_cell_length_b 5.003
_cell_length_c 8.109
_cell_angle_alpha 90.00
_cell_angle_beta 90.00
_cell_angle_gamma 118.71
_symmetry_space_group_name_H-M 'P 1'
_symmetry_Int_Tables_number 1
loop_
_symmetry_equiv_pos_as_xyz
'x,y,z'
loop_
_atom_site_label
_atom_site_type_symbol
_atom_site_fract_x
_atom_site_fract_y
_atom_site_fract_z
_atom_site_occupancy
Cu1 Cu 0.831 0.169 0.000 1
Cu2 Cu 0.161 0.839 0.500 1
Cu3 Cu 0.830 0.650 0.000 1
Cu4 Cu 0.350 0.170 0.000 1
Nb1 Nb 0.664 0.336 0.688 1
Al1 Al 0.647 0.836 0.500 1
Al2 Al 0.006 0.994 0.237 1
Al3 Al 0.006 0.994 0.763 1
Nb2 Nb 0.339 0.661 0.818 1
Nb3 Nb 0.664 0.336 0.312 1
Nb4 Nb 0.339 0.661 0.182 1
Al4 Al 0.164 0.353 0.500 1

***

(10)
# NbAlCu PBE-GGA relaxed
# Uncorrected energy ... -6.160 eV/atom
# Crystal system ... monoclinic
# Formation energy ... -0.190 eV per atom
data_NbAlCu
_chemical_formula_sum 'Nb2 Al2 Cu2'
_cell_length_a 4.126
_cell_length_b 4.039
_cell_length_c 5.851
_cell_angle_alpha 90.00
_cell_angle_beta 110.60
_cell_angle_gamma 90.00
_symmetry_space_group_name_H-M 'P 1'
_symmetry_Int_Tables_number 1
loop_
_symmetry_equiv_pos_as_xyz
'x,y,z'
loop_
_atom_site_label
_atom_site_type_symbol
_atom_site_fract_x
_atom_site_fract_y
_atom_site_fract_z
_atom_site_occupancy
Nb1 Nb 0.705 0.616 0.871 1
Al1 Al 0.017 0.616 0.497 1
Cu1 Cu 0.869 0.115 0.200 1
Cu2 Cu 0.361 0.615 0.186 1
Al2 Al 0.213 0.115 0.889 1
Nb2 Nb 0.525 0.115 0.515 1

***

(11)
# NbAlCu PBE-GGA relaxed
# Uncorrected energy ... -6.194 eV/atom
# Crystal system ... tetragonal
# Formation energy ... -0.225 eV per atom
data_NbAlCu
_chemical_formula_sum 'Nb1 Al1 Cu1'
_cell_length_a 2.905
_cell_length_b 2.905
_cell_length_c 5.722
_cell_angle_alpha 104.70
_cell_angle_beta 104.70
_cell_angle_gamma 90.00
_symmetry_space_group_name_H-M 'P 1'
_symmetry_Int_Tables_number 1
loop_
_symmetry_equiv_pos_as_xyz
'x,y,z'
loop_
_atom_site_label
_atom_site_type_symbol
_atom_site_fract_x
_atom_site_fract_y
_atom_site_fract_z
_atom_site_occupancy
Cu1 Cu 0.321 0.321 0.642 1
Al1 Al 0.682 0.682 0.363 1
Nb1 Nb 0.997 0.997 0.995 1

***

(12)
# Nb2Al4Cu PBE-GGA relaxed
# Uncorrected energy ... -5.142 eV/atom
# Crystal system ... tetragonal
# Formation energy ... 0.459 eV per atom
data_Nb2Al4Cu
_chemical_formula_sum 'Nb2 Al4 Cu1'
_cell_length_a 4.583
_cell_length_b 4.583
_cell_length_c 7.278
_cell_angle_alpha 71.65
_cell_angle_beta 71.65
_cell_angle_gamma 90.00
_symmetry_space_group_name_H-M 'P 1'
_symmetry_Int_Tables_number 1
loop_
_symmetry_equiv_pos_as_xyz
'x,y,z'
loop_
_atom_site_label
_atom_site_type_symbol
_atom_site_fract_x
_atom_site_fract_y
_atom_site_fract_z
_atom_site_occupancy
Al1 Al 0.183 0.183 0.635 1
Al2 Al 0.500 0.000 0.000 1
Al3 Al 0.000 0.500 0.000 1
Cu1 Cu 0.000 0.000 0.000 1
Al4 Al 0.817 0.817 0.365 1
Nb1 Nb 0.608 0.608 0.784 1
Nb2 Nb 0.392 0.392 0.216 1